No. 1
First-principles (PBE-GGA) data for an optimized crystal structure of PrDy6Y2Er, as listed in Alexandria via LeMat-Bulk.

Cell and atoms, written as POSCAR:
```
PrDy6Y2Er
1.0
8.995 -1.880 -1.951
0.936 8.548 -1.942
0.936 -2.258 8.470
Dy Er Y Pr
12 2 4 2
direct
0.558 0.758 0.120
0.183 0.557 0.010
0.442 0.242 0.880
0.317 0.990 0.443
0.817 0.443 0.990
0.058 0.120 0.758
0.886 0.291 0.521
0.386 0.521 0.291
0.683 0.010 0.557
0.942 0.880 0.242
0.614 0.479 0.709
0.114 0.709 0.479
0.250 0.411 0.589
0.750 0.589 0.411
0.052 0.305 0.203
0.448 0.797 0.695
0.948 0.695 0.797
0.552 0.203 0.305
0.750 0.034 0.966
0.250 0.966 0.034
```

Values from the calculation:
Energy in eV/atom: -4.864
SG: C2/c (15)
Formation enthalpy at 0 K in eV/f.u.: 1.241


No. 2
First-principles (PBE-GGA) data for an optimized crystal structure of Pr3DyY2Er6, as listed in Alexandria via LeMat-Bulk.

Cell and atoms, written as POSCAR:
```
Pr3DyY2Er6
1.0
6.199 0.001 0.000
-3.098 5.370 0.000
-1.031 -1.785 11.607
Er Pr Dy Y
6 3 1 2
direct
0.750 0.750 0.246
0.082 0.415 0.246
0.918 0.585 0.754
0.585 0.918 0.754
0.415 0.082 0.246
0.250 0.250 0.754
0.500 0.500 0.500
0.833 0.167 0.500
0.167 0.833 0.500
0.000 0.000 0.000
0.333 0.667 0.000
0.667 0.333 0.000
```

Values from the calculation:
Energy in eV/atom: -4.914
SG: C2/m (12)
Formation enthalpy at 0 K in eV/f.u.: 0.280


No. 3
First-principles (PBE-GGA) data for an optimized crystal structure of PrDyY6Er2, as listed in Alexandria via LeMat-Bulk.

Cell and atoms, written as POSCAR:
```
PrDyY6Er2
1.0
9.211 -2.058 -2.135
0.735 8.520 -1.934
0.735 -2.249 8.443
Y Pr Er Dy
12 2 4 2
direct
0.881 0.295 0.506
0.944 0.882 0.247
0.681 0.023 0.572
0.119 0.705 0.494
0.181 0.572 0.023
0.381 0.506 0.295
0.819 0.428 0.977
0.319 0.977 0.428
0.056 0.118 0.753
0.444 0.247 0.882
0.619 0.494 0.705
0.556 0.753 0.118
0.750 0.594 0.406
0.250 0.406 0.594
0.046 0.292 0.192
0.454 0.808 0.708
0.546 0.192 0.292
0.954 0.708 0.808
0.750 0.025 0.975
0.250 0.975 0.025
```

Values from the calculation:
Energy in eV/atom: -5.607
SG: C2/c (15)
Formation enthalpy at 0 K in eV/f.u.: 1.217


No. 4
First-principles (PBE-GGA) data for an optimized crystal structure of Pr3Dy6YEr2, as listed in Alexandria via LeMat-Bulk.

Cell and atoms, written as POSCAR:
```
Pr3Dy6YEr2
1.0
-5.973 -1.371 -1.015
4.068 -4.541 1.193
-1.547 3.013 11.361
Dy Y Pr Er
6 1 3 2
direct
0.082 0.416 0.245
0.918 0.584 0.755
0.748 0.748 0.245
0.584 0.918 0.755
0.252 0.252 0.755
0.416 0.082 0.245
0.000 0.000 0.000
0.500 0.500 0.500
0.167 0.833 0.500
0.833 0.167 0.500
0.333 0.667 0.000
0.667 0.333 0.000
```

Values from the calculation:
Energy in eV/atom: -4.774
SG: C2/m (12)
Formation enthalpy at 0 K in eV/f.u.: 0.254


No. 5
First-principles (PBE-GGA) data for an optimized crystal structure of PrDyYEr3, as listed in Alexandria via LeMat-Bulk.

Cell and atoms, written as POSCAR:
```
PrDyYEr3
1.0
3.592 0.000 0.000
0.000 9.526 -0.316
0.000 -3.759 11.322
Y Dy Er Pr
2 2 6 2
direct
0.750 0.817 0.656
0.250 0.183 0.344
0.750 0.376 0.878
0.250 0.624 0.122
0.250 0.069 0.906
0.750 0.435 0.598
0.750 0.931 0.094
0.250 0.681 0.848
0.250 0.565 0.402
0.750 0.319 0.152
0.250 0.129 0.628
0.750 0.871 0.372
```

Values from the calculation:
Energy in eV/atom: -4.924
SG: P2_1/m (11)
Formation enthalpy at 0 K in eV/f.u.: -0.008


No. 6
First-principles (PBE-GGA) data for an optimized crystal structure of PrDy2YEr5, as listed in Alexandria via LeMat-Bulk.

Cell and atoms, written as POSCAR:
```
PrDy2YEr5
1.0
-4.067 -3.988 -6.899
7.953 -2.509 -3.238
-2.343 -2.942 8.882
Er Dy Pr Y
10 4 2 2
direct
0.925 0.425 0.262
0.575 0.664 0.738
0.336 0.836 0.262
0.075 0.575 0.738
0.000 0.000 0.000
0.664 0.164 0.738
0.836 0.925 0.262
0.500 0.500 0.000
0.164 0.075 0.738
0.425 0.336 0.262
0.388 0.888 0.000
0.612 0.112 0.000
0.888 0.612 0.000
0.112 0.388 0.000
0.750 0.750 0.500
0.250 0.250 0.500
0.750 0.250 0.500
0.250 0.750 0.500
```

Values from the calculation:
Energy in eV/atom: -4.521
SG: I4/mcm (140)
Formation enthalpy at 0 K in eV/f.u.: 2.573